DFT (PBE+U) results for CrCoSeO2 after structural relaxation.

a b c (Å): 3.6771 3.6771 5.5064
angles (deg): 90.00 90.00 90.00
Sites, in units of the cell vectors:
Cr1 0.0000 0.0000 0.0000
Co1 0.5000 0.5000 0.5000
Se1 0.5000 0.5000 0.0000
O1 0.0000 0.5000 0.5000
O2 0.5000 0.0000 0.5000

Calculated values
E	-5.529	eV/atom
V	14.89	Å³/atom
space group	P4/mmm